# 1
HgBr2 after structural relaxation, computed with PBE.

The structure in POSCAR format:
```
HgBr2
1.0
4.724 0.000 0.000
-2.362 4.091 0.000
0.000 0.000 9.365
Hg Br
2 4
direct
0.333 0.667 0.250 Hg
0.667 0.333 0.750 Hg
0.000 0.000 0.000 Br
0.000 0.000 0.500 Br
0.333 0.667 0.750 Br
0.667 0.333 0.250 Br
```

DOS at the Fermi energy in states/eV/cell: 6.9
Total magnetic moment in μB/cell: 0.0
E in eV/atom: -1.267

---

# 2
NaTh2Ga6 after structural relaxation, computed with PBE.

The structure in POSCAR format:
```
NaTh2Ga6
1.0
7.421 0.000 0.000
-3.711 6.427 0.000
0.000 0.000 4.268
Na Th Ga
1 2 6
direct
0.000 0.000 0.000 Na
0.333 0.667 0.000 Th
0.667 0.333 0.000 Th
0.000 0.334 0.500 Ga
0.000 0.666 0.500 Ga
0.334 0.000 0.500 Ga
0.334 0.334 0.500 Ga
0.666 0.000 0.500 Ga
0.666 0.666 0.500 Ga
```

DOS at the Fermi energy in states/eV/cell: 2.9
Total magnetic moment in μB/cell: 0.0
E in eV/atom: -4.218
ΔE_f in eV/atom: -0.40

---

# 3
MgC3 after structural relaxation, computed with PBE.

The structure in POSCAR format:
```
MgC3
1.0
3.464 0.000 0.000
0.000 4.596 0.000
0.000 0.000 5.317
Mg C
2 6
direct
0.000 0.000 0.000 Mg
0.500 0.500 0.500 Mg
0.000 0.147 0.500 C
0.000 0.500 0.000 C
0.000 0.853 0.500 C
0.500 0.000 0.500 C
0.500 0.353 0.000 C
0.500 0.647 0.000 C
```

DOS at the Fermi energy in states/eV/cell: 0.9
Total magnetic moment in μB/cell: 0.0
E in eV/atom: -5.579
ΔE_f in eV/atom: 1.74

---

# 4
Na2LiBi after structural relaxation, computed with PBE.

The structure in POSCAR format:
```
Na2LiBi
1.0
6.534 0.000 0.000
0.000 5.025 0.000
-1.887 0.000 7.790
Na Li Bi
4 2 2
direct
0.136 0.250 0.415 Na
0.296 0.250 0.937 Na
0.704 0.750 0.063 Na
0.864 0.750 0.585 Na
0.446 0.750 0.362 Li
0.554 0.250 0.638 Li
0.363 0.750 0.699 Bi
0.637 0.250 0.301 Bi
```

DOS at the Fermi energy in states/eV/cell: 0.8
Total magnetic moment in μB/cell: 0.0
E in eV/atom: -2.460
ΔE_f in eV/atom: -0.35

---

# 5
Ac4GaCoCl2 after structural relaxation, computed with PBE.

The structure in POSCAR format:
```
Ac4GaCoCl2
1.0
7.913 0.000 0.000
0.000 4.284 0.000
-2.539 0.000 7.741
Ac Ga Co Cl
4 1 1 2
direct
0.225 0.000 0.288 Ac
0.227 0.500 0.708 Ac
0.773 0.500 0.292 Ac
0.775 0.000 0.712 Ac
0.500 0.500 0.500 Ga
0.000 0.000 0.500 Co
0.000 0.500 0.000 Cl
0.500 0.000 0.000 Cl
```

DOS at the Fermi energy in states/eV/cell: 5.2
Total magnetic moment in μB/cell: 0.0
E in eV/atom: -4.665

---

# 6
Nb2CN after structural relaxation, computed with PBE.

The structure in POSCAR format:
```
Nb2CN
1.0
3.193 0.000 0.000
0.000 13.591 0.000
0.000 0.000 4.419
Nb C N
8 4 4
direct
0.000 0.080 0.250 Nb
0.000 0.306 0.250 Nb
0.000 0.694 0.750 Nb
0.000 0.920 0.750 Nb
0.500 0.194 0.750 Nb
0.500 0.420 0.750 Nb
0.500 0.580 0.250 Nb
0.500 0.806 0.250 Nb
0.000 0.312 0.750 C
0.000 0.688 0.250 C
0.500 0.188 0.250 C
0.500 0.812 0.750 C
0.000 0.079 0.750 N
0.000 0.921 0.250 N
0.500 0.421 0.250 N
0.500 0.579 0.750 N
```

DOS at the Fermi energy in states/eV/cell: 4.2
Total magnetic moment in μB/cell: 0.0
E in eV/atom: -10.114

---

# 7
Pm2Nd6Sc after structural relaxation, computed with PBE.

The structure in POSCAR format:
```
Pm2Nd6Sc
1.0
8.286 -5.911 0.000
8.286 5.911 0.000
-0.731 0.000 6.188
Pm Nd Sc
4 12 2
direct
0.066 0.277 0.067 Pm
0.277 0.066 0.567 Pm
0.723 0.934 0.433 Pm
0.934 0.723 0.933 Pm
0.090 0.810 0.488 Nd
0.157 0.430 0.642 Nd
0.190 0.910 0.012 Nd
0.258 0.527 0.174 Nd
0.430 0.157 0.142 Nd
0.473 0.742 0.326 Nd
0.527 0.258 0.674 Nd
0.570 0.843 0.858 Nd
0.742 0.473 0.826 Nd
0.810 0.090 0.988 Nd
0.843 0.570 0.358 Nd
0.910 0.190 0.512 Nd
0.393 0.607 0.750 Sc
0.607 0.393 0.250 Sc
```

DOS at the Fermi energy in states/eV/cell: 27.7
Total magnetic moment in μB/cell: 0.0
E in eV/atom: -4.848
ΔE_f in eV/atom: 0.09

---

# 8
Li3H3Rh2 after structural relaxation, computed with PBE.

The structure in POSCAR format:
```
Li3H3Rh2
1.0
1.469 -4.810 0.000
1.469 4.810 0.000
0.000 0.000 11.823
Li H Rh
6 6 4
direct
0.065 0.935 0.605 Li
0.065 0.935 0.895 Li
0.374 0.626 0.750 Li
0.626 0.374 0.250 Li
0.935 0.065 0.105 Li
0.935 0.065 0.395 Li
0.236 0.764 0.250 H
0.396 0.604 0.594 H
0.396 0.604 0.906 H
0.604 0.396 0.094 H
0.604 0.396 0.406 H
0.764 0.236 0.750 H
0.206 0.794 0.090 Rh
0.206 0.794 0.410 Rh
0.794 0.206 0.590 Rh
0.794 0.206 0.910 Rh
```

DOS at the Fermi energy in states/eV/cell: 5.1
Total magnetic moment in μB/cell: 0.0
E in eV/atom: -4.040

---

# 9
Na2ZrReAs after structural relaxation, computed with PBE.

The structure in POSCAR format:
```
Na2ZrReAs
1.0
5.623 0.000 0.000
0.000 5.623 0.000
0.000 0.000 4.688
Na Zr Re As
2 1 1 1
direct
0.000 0.500 0.000 Na
0.500 0.000 0.000 Na
0.000 0.000 0.000 Zr
0.000 0.000 0.500 Re
0.500 0.500 0.500 As
```

DOS at the Fermi energy in states/eV/cell: 4.8
Total magnetic moment in μB/cell: 0.6
E in eV/atom: -4.030
ΔE_f in eV/atom: 1.63

---

# 10
Pr2MnCd after structural relaxation, computed with PBE.

The structure in POSCAR format:
```
Pr2MnCd
1.0
7.607 0.000 0.000
0.000 7.607 0.000
0.000 0.000 7.607
Pr Mn Cd
8 4 4
direct
0.250 0.250 0.250 Pr
0.250 0.250 0.750 Pr
0.250 0.750 0.250 Pr
0.250 0.750 0.750 Pr
0.750 0.250 0.250 Pr
0.750 0.250 0.750 Pr
0.750 0.750 0.250 Pr
0.750 0.750 0.750 Pr
0.000 0.000 0.000 Mn
0.000 0.500 0.500 Mn
0.500 0.000 0.500 Mn
0.500 0.500 0.000 Mn
0.000 0.000 0.500 Cd
0.000 0.500 0.000 Cd
0.500 0.000 0.000 Cd
0.500 0.500 0.500 Cd
```

DOS at the Fermi energy in states/eV/cell: 17.8
Total magnetic moment in μB/cell: 13.6
E in eV/atom: -4.888
ΔE_f in eV/atom: 0.02

---

# 11
Tb4Al3Au after structural relaxation, computed with PBE.

The structure in POSCAR format:
```
Tb4Al3Au
1.0
3.783 0.000 0.000
0.000 4.511 0.000
0.000 0.000 11.579
Tb Al Au
4 3 1
direct
0.000 0.000 0.000 Tb
0.000 0.500 0.292 Tb
0.500 0.000 0.490 Tb
0.500 0.500 0.801 Tb
0.000 0.000 0.712 Al
0.000 0.500 0.576 Al
0.500 0.500 0.074 Al
0.500 0.000 0.219 Au
```

DOS at the Fermi energy in states/eV/cell: 7.7
Total magnetic moment in μB/cell: 0.0
E in eV/atom: -4.622
ΔE_f in eV/atom: -0.49

---

# 12
Sn5Hg2Pb5 after structural relaxation, computed with PBE.

The structure in POSCAR format:
```
Sn5Hg2Pb5
1.0
8.502 -2.292 0.000
8.502 2.292 0.000
-6.110 0.000 9.277
Sn Hg Pb
5 2 5
direct
0.000 0.000 0.000 Sn
0.169 0.169 0.747 Sn
0.381 0.381 0.782 Sn
0.619 0.619 0.218 Sn
0.831 0.831 0.253 Sn
0.041 0.041 0.331 Hg
0.959 0.959 0.669 Hg
0.280 0.280 0.412 Pb
0.362 0.362 0.070 Pb
0.500 0.500 0.500 Pb
0.638 0.638 0.930 Pb
0.720 0.720 0.588 Pb
```

DOS at the Fermi energy in states/eV/cell: 6.1
Total magnetic moment in μB/cell: 0.0
E in eV/atom: -3.186
ΔE_f in eV/atom: 0.08

---

# 13
YPPbCl2 after structural relaxation, computed with PBE.

The structure in POSCAR format:
```
YPPbCl2
1.0
5.275 0.000 0.000
0.000 5.275 0.000
0.000 0.000 5.613
Y P Pb Cl
1 1 1 2
direct
0.000 0.000 0.000 Y
0.500 0.500 0.000 P
0.500 0.500 0.500 Pb
0.000 0.500 0.500 Cl
0.500 0.000 0.500 Cl
```

DOS at the Fermi energy in states/eV/cell: 2.2
Total magnetic moment in μB/cell: 0.4
E in eV/atom: -4.058

---

# 14
K2In5Pt4 after structural relaxation, computed with PBE.

The structure in POSCAR format:
```
K2In5Pt4
1.0
6.497 -3.305 0.000
6.497 3.305 0.000
-3.401 0.000 7.341
K In Pt
2 5 4
direct
0.164 0.164 0.488 K
0.836 0.836 0.512 K
0.114 0.609 0.946 In
0.391 0.886 0.054 In
0.500 0.500 0.500 In
0.609 0.114 0.946 In
0.886 0.391 0.054 In
0.311 0.311 0.184 Pt
0.470 0.470 0.802 Pt
0.530 0.530 0.198 Pt
0.689 0.689 0.816 Pt
```

DOS at the Fermi energy in states/eV/cell: 4.1
Total magnetic moment in μB/cell: 0.0
E in eV/atom: -3.994
ΔE_f in eV/atom: -0.35

---

# 15
Tm2CoSe after structural relaxation, computed with PBE.

The structure in POSCAR format:
```
Tm2CoSe
1.0
3.415 0.000 0.000
0.000 3.415 0.000
0.000 0.000 6.974
Tm Co Se
2 1 1
direct
0.000 0.000 0.230 Tm
0.000 0.000 0.770 Tm
0.500 0.500 0.000 Co
0.500 0.500 0.500 Se
```

DOS at the Fermi energy in states/eV/cell: 1.8
Total magnetic moment in μB/cell: 0.6
E in eV/atom: -5.657

---

# 16
Tb3Y2Tl3 after structural relaxation, computed with PBE.

The structure in POSCAR format:
```
Tb3Y2Tl3
1.0
4.370 0.000 0.000
0.000 5.013 0.000
0.000 0.000 20.900
Tb Y Tl
6 4 6
direct
0.000 0.000 0.000 Tb
0.000 0.500 0.118 Tb
0.000 0.500 0.882 Tb
0.500 0.000 0.382 Tb
0.500 0.000 0.618 Tb
0.500 0.500 0.500 Tb
0.000 0.000 0.237 Y
0.000 0.000 0.763 Y
0.500 0.500 0.263 Y
0.500 0.500 0.737 Y
0.000 0.000 0.500 Tl
0.000 0.500 0.374 Tl
0.000 0.500 0.626 Tl
0.500 0.000 0.126 Tl
0.500 0.000 0.874 Tl
0.500 0.500 0.000 Tl
```

DOS at the Fermi energy in states/eV/cell: 15.4
Total magnetic moment in μB/cell: 1.1
E in eV/atom: -4.501
ΔE_f in eV/atom: -0.26

---

# 17
PaFeCuSi2 after structural relaxation, computed with PBE.

The structure in POSCAR format:
```
PaFeCuSi2
1.0
3.972 0.000 0.000
0.000 3.972 0.000
0.000 0.000 9.807
Pa Fe Cu Si
2 2 2 4
direct
0.000 0.000 0.000 Pa
0.500 0.500 0.500 Pa
0.000 0.500 0.750 Fe
0.500 0.000 0.250 Fe
0.000 0.500 0.250 Cu
0.500 0.000 0.750 Cu
0.000 0.000 0.378 Si
0.000 0.000 0.622 Si
0.500 0.500 0.122 Si
0.500 0.500 0.878 Si
```

DOS at the Fermi energy in states/eV/cell: 7.4
Total magnetic moment in μB/cell: 2.8
E in eV/atom: -7.081

---

# 18
LaScPt2 after structural relaxation, computed with PBE.

The structure in POSCAR format:
```
LaScPt2
1.0
4.581 0.000 0.000
-2.290 3.967 0.000
0.000 0.000 14.882
La Sc Pt
3 3 6
direct
0.000 0.000 0.000 La
0.333 0.667 0.667 La
0.667 0.333 0.333 La
0.000 0.000 0.500 Sc
0.333 0.667 0.167 Sc
0.667 0.333 0.833 Sc
0.000 0.000 0.217 Pt
0.000 0.000 0.783 Pt
0.333 0.667 0.449 Pt
0.333 0.667 0.884 Pt
0.667 0.333 0.116 Pt
0.667 0.333 0.551 Pt
```

DOS at the Fermi energy in states/eV/cell: 6.9
Total magnetic moment in μB/cell: 0.0
E in eV/atom: -6.984
ΔE_f in eV/atom: -1.15